Entry 1:
! LaSn2Au (PBE-GGA, optimized geometry); values from VASP
&SYSTEM
  ibrav = 0, nat = 4, ntyp = 3
/
ATOMIC_SPECIES
La 138.91 La.upf
Sn 118.71 Sn.upf
Au 196.97 Au.upf
ATOMIC_POSITIONS crystal
La 0.0000 0.0000 0.0000
Sn 0.2500 0.2500 0.2500
Sn 0.7500 0.7500 0.7500
Au 0.5000 0.5000 0.5000
CELL_PARAMETERS angstrom
0.0000 3.7289 3.7289
3.7289 0.0000 3.7289
3.7289 3.7289 0.0000
! - Fermi-level density of states: 0.686 states/eV/atom
! - Energy of formation from the pure elements: -134 kJ/mol of formula units
! - M_tot: 0.00 Bohr magnetons per cell
! - V: 103.70 Å³ per cell


Entry 2:
! CeMg2AlAg4 (PBE-GGA, optimized geometry); values from VASP
&SYSTEM
  ibrav = 0, nat = 8, ntyp = 4
/
ATOMIC_SPECIES
Ce 140.12 Ce.upf
Mg 24.30 Mg.upf
Al 26.98 Al.upf
Ag 107.87 Ag.upf
ATOMIC_POSITIONS crystal
Ce 0.0000 0.0000 0.0000
Mg 0.2415 0.2415 0.2415
Mg 0.7585 0.7585 0.7585
Al 0.5000 0.5000 0.5000
Ag 0.1324 0.1324 0.1324
Ag 0.3991 0.3991 0.3991
Ag 0.6009 0.6009 0.6009
Ag 0.8676 0.8676 0.8676
CELL_PARAMETERS angstrom
2.3123 1.3350 8.9436
-2.3123 1.3350 8.9436
0.0000 -2.6700 8.9436
! - Fermi-level density of states: 1.143 states/eV/atom
! - Energy of formation from the pure elements: -102 kJ/mol of formula units
! - M_tot: 0.99 Bohr magnetons per cell
! - V: 165.64 Å³ per cell


Entry 3:
! Dy2AgPdO5 (PBE-GGA, optimized geometry); values from VASP
&SYSTEM
  ibrav = 0, nat = 18, ntyp = 4
/
ATOMIC_SPECIES
Dy 162.50 Dy.upf
Ag 107.87 Ag.upf
Pd 106.42 Pd.upf
O 16.00 O.upf
ATOMIC_POSITIONS crystal
Dy 0.1736 0.3264 0.0000
Dy 0.3264 0.8264 0.0000
Dy 0.6736 0.1736 0.0000
Dy 0.8264 0.6736 0.0000
Ag 0.0000 0.0000 0.5000
Ag 0.5000 0.5000 0.5000
Pd 0.0000 0.5000 0.5000
Pd 0.5000 0.0000 0.5000
O 0.0000 0.0000 0.0000
O 0.1381 0.6381 0.2380
O 0.1381 0.6381 0.7620
O 0.3619 0.1381 0.2380
O 0.3619 0.1381 0.7620
O 0.5000 0.5000 0.0000
O 0.6381 0.8619 0.2380
O 0.6381 0.8619 0.7620
O 0.8619 0.3619 0.2380
O 0.8619 0.3619 0.7620
CELL_PARAMETERS angstrom
6.5459 0.0000 0.0000
0.0000 6.5459 0.0000
0.0000 0.0000 5.7612
! - Fermi-level density of states: 0.529 states/eV/atom
! - Calculated total energy: -6.6204 eV/atom
! - M_tot: 2.07 Bohr magnetons per cell
! - V: 246.86 Å³ per cell


Entry 4:
! Cs6TeAs (PBE-GGA, optimized geometry); values from VASP
&SYSTEM
  ibrav = 0, nat = 8, ntyp = 3
/
ATOMIC_SPECIES
Cs 132.91 Cs.upf
Te 127.60 Te.upf
As 74.92 As.upf
ATOMIC_POSITIONS crystal
Cs 0.0523 0.1066 0.2879
Cs 0.2600 0.2350 0.7467
Cs 0.4470 0.3771 0.2285
Cs 0.5530 0.6229 0.7715
Cs 0.7400 0.7650 0.2533
Cs 0.9477 0.8934 0.7121
Te 0.0000 0.5000 0.0000
As 0.5000 0.0000 0.5000
CELL_PARAMETERS angstrom
6.4938 0.0000 0.0000
3.2398 9.4559 0.0000
3.2406 2.7904 9.0488
! - Fermi-level density of states: 0.345 states/eV/atom
! - Calculated total energy: -2.0955 eV/atom
! - M_tot: 0.00 Bohr magnetons per cell
! - V: 555.64 Å³ per cell


Entry 5:
! Sr4Tl5Pd2 (PBE-GGA, optimized geometry); values from VASP
&SYSTEM
  ibrav = 0, nat = 11, ntyp = 3
/
ATOMIC_SPECIES
Sr 87.62 Sr.upf
Tl 204.38 Tl.upf
Pd 106.42 Pd.upf
ATOMIC_POSITIONS crystal
Sr 0.1869 0.0000 0.3503
Sr 0.2265 0.0000 0.9199
Sr 0.7735 0.0000 0.0801
Sr 0.8131 0.0000 0.6497
Tl 0.1536 0.5000 0.6418
Tl 0.4314 0.5000 0.1586
Tl 0.5000 0.5000 0.5000
Tl 0.5686 0.5000 0.8414
Tl 0.8464 0.5000 0.3582
Pd 0.0733 0.5000 0.1298
Pd 0.9267 0.5000 0.8702
CELL_PARAMETERS angstrom
8.1803 0.0000 0.0000
0.0000 4.1871 0.0000
-0.1277 0.0000 9.9205
! - Fermi-level density of states: 0.490 states/eV/atom
! - Energy of formation from the pure elements: -440 kJ/mol of formula units
! - M_tot: 0.00 Bohr magnetons per cell
! - V: 339.79 Å³ per cell


Entry 6:
! BeCu3Pb (PBE-GGA, optimized geometry); values from VASP
&SYSTEM
  ibrav = 0, nat = 5, ntyp = 3
/
ATOMIC_SPECIES
Be 9.01 Be.upf
Cu 63.55 Cu.upf
Pb 207.20 Pb.upf
ATOMIC_POSITIONS crystal
Be 0.0000 0.0000 0.0000
Cu 0.0000 0.5000 0.5000
Cu 0.5000 0.0000 0.5000
Cu 0.5000 0.5000 0.0000
Pb 0.5000 0.5000 0.5000
CELL_PARAMETERS angstrom
4.9225 0.0000 0.0000
0.0000 4.9225 0.0000
0.0000 0.0000 4.9225
! - Fermi-level density of states: 0.379 states/eV/atom
! - Energy of formation from the pure elements: 660 kJ/mol of formula units
! - M_tot: 0.00 Bohr magnetons per cell
! - Excess energy over the best structure of this formula in the dataset: 1015 meV/atom
! - V: 119.28 Å³ per cell


Entry 7:
! Th2GaCoAg (PBE-GGA, optimized geometry); values from VASP
&SYSTEM
  ibrav = 0, nat = 10, ntyp = 4
/
ATOMIC_SPECIES
Th 232.04 Th.upf
Ga 69.72 Ga.upf
Co 58.93 Co.upf
Ag 107.87 Ag.upf
ATOMIC_POSITIONS crystal
Th 0.0371 0.2500 0.2202
Th 0.3487 0.7500 0.6151
Th 0.6513 0.2500 0.3849
Th 0.9629 0.7500 0.7798
Ga 0.3222 0.2500 0.9357
Ga 0.6778 0.7500 0.0643
Co 0.0911 0.2500 0.6013
Co 0.9089 0.7500 0.3987
Ag 0.3394 0.7500 0.1602
Ag 0.6606 0.2500 0.8398
CELL_PARAMETERS angstrom
7.3411 0.0000 0.0000
0.0000 4.3457 0.0000
-2.6269 0.0000 7.0198
! - Fermi-level density of states: 0.943 states/eV/atom
! - Energy of formation from the pure elements: -152 kJ/mol of formula units
! - M_tot: 0.00 Bohr magnetons per cell
! - V: 223.95 Å³ per cell


Entry 8:
! LiPaBiIr (PBE-GGA, optimized geometry); values from VASP
&SYSTEM
  ibrav = 0, nat = 4, ntyp = 4
/
ATOMIC_SPECIES
Li 6.94 Li.upf
Pa 231.04 Pa.upf
Bi 208.98 Bi.upf
Ir 192.22 Ir.upf
ATOMIC_POSITIONS crystal
Li 0.0000 0.0000 0.0000
Pa 0.7500 0.7500 0.7500
Bi 0.2500 0.2500 0.2500
Ir 0.5000 0.5000 0.5000
CELL_PARAMETERS angstrom
0.0000 3.4414 3.4414
3.4414 0.0000 3.4414
3.4414 3.4414 0.0000
! - Fermi-level density of states: 1.199 states/eV/atom
! - Energy of formation from the pure elements: -97 kJ/mol of formula units
! - M_tot: 0.00 Bohr magnetons per cell
! - V: 81.51 Å³ per cell


What is the M_tot in the second record?
0.99 Bohr magnetons per cell


What is the V in the eighth record?
81.51 Å³ per cell